MgZr2Cl after structural relaxation, computed with PBE.

abc: 10.935 10.935 10.935
angles: 17.47 17.47 17.47
Fractional coordinates of all 4 atoms:
Cl 0.525 0.525 0.525
Mg 0.738 0.738 0.738
Zr 0.990 0.990 0.990
Zr 0.248 0.248 0.248

Calculated values
Distance to the lowest polymorph of the same formula in meV per atom: 0
Symmetry: No. 160
Formation energy from raw total energies in eV per atom: -0.488

***

Li2As3H2Pd5 after structural relaxation, computed with PBE.

abc: 4.032 4.032 10.816
angles: 100.74 100.74 90.00
Fractional coordinates of all 12 atoms:
Li 0.696 0.696 0.393
Li 0.304 0.304 0.607
As 0.179 0.179 0.357
As 0.821 0.821 0.643
As 0.000 0.000 0.000
H 0.410 0.410 0.821
H 0.590 0.590 0.179
Pd 0.603 0.103 0.207
Pd 0.397 0.897 0.793
Pd 0.103 0.603 0.207
Pd 0.897 0.397 0.793
Pd 0.500 0.500 0.000

Calculated values
Symmetry: No. 139

***

MgSb2H2F14 after structural relaxation, computed with PBE.

abc: 6.893 12.643 13.024
angles: 90.00 90.00 90.00
Fractional coordinates of all 76 atoms:
F 0.525 0.365 0.617
F 0.025 0.635 0.883
F 0.475 0.865 0.383
F 0.975 0.135 0.117
F 0.475 0.635 0.383
F 0.975 0.365 0.117
F 0.525 0.135 0.617
F 0.025 0.865 0.883
F 0.920 0.137 0.555
F 0.420 0.863 0.945
F 0.080 0.637 0.445
F 0.580 0.363 0.055
F 0.080 0.863 0.445
F 0.580 0.137 0.055
F 0.920 0.363 0.555
F 0.420 0.637 0.945
F 0.731 0.967 0.472
F 0.231 0.033 0.028
F 0.269 0.467 0.528
F 0.769 0.533 0.972
F 0.269 0.033 0.528
F 0.769 0.967 0.972
F 0.731 0.533 0.472
F 0.231 0.467 0.028
F 0.022 0.059 0.368
F 0.522 0.941 0.132
F 0.978 0.559 0.632
F 0.478 0.441 0.868
F 0.978 0.941 0.632
F 0.478 0.059 0.868
F 0.022 0.441 0.368
F 0.522 0.559 0.132
F 0.802 0.250 0.731
F 0.302 0.750 0.769
F 0.198 0.750 0.269
F 0.698 0.250 0.231
F 0.840 0.250 0.935
F 0.340 0.750 0.565
F 0.160 0.750 0.065
F 0.660 0.250 0.435
F 0.228 0.250 0.924
F 0.728 0.750 0.576
F 0.772 0.750 0.076
F 0.272 0.250 0.424
F 0.197 0.250 0.706
F 0.697 0.750 0.794
F 0.803 0.750 0.294
F 0.303 0.250 0.206
F 0.013 0.400 0.823
F 0.513 0.600 0.677
F 0.987 0.900 0.177
F 0.487 0.100 0.323
F 0.987 0.600 0.177
F 0.487 0.400 0.323
F 0.013 0.100 0.823
F 0.513 0.900 0.677
H 0.417 0.403 0.585
H 0.917 0.597 0.915
H 0.583 0.903 0.415
H 0.083 0.097 0.085
H 0.583 0.597 0.415
H 0.083 0.403 0.085
H 0.417 0.097 0.585
H 0.917 0.903 0.915
Mg 0.715 0.250 0.585
Mg 0.215 0.750 0.915
Mg 0.285 0.750 0.415
Mg 0.785 0.250 0.085
Sb 0.000 0.000 0.500
Sb 0.500 0.000 0.000
Sb 0.000 0.500 0.500
Sb 0.500 0.500 0.000
Sb 0.031 0.250 0.822
Sb 0.531 0.750 0.678
Sb 0.969 0.750 0.178
Sb 0.469 0.250 0.322

Calculated values
Symmetry: No. 62

***

Li2TaW after structural relaxation, computed with PBE.

abc: 5.077 2.660 4.961
angles: 81.88 90.00 90.00
Fractional coordinates of all 4 atoms:
Li 0.000 0.995 0.990
Li 0.000 0.505 0.510
Ta 0.500 0.250 0.250
W 0.500 0.750 0.750

Calculated values
Distance to the lowest polymorph of the same formula in meV per atom: 194
Symmetry: No. 10

***

Ce2DyThN4 after structural relaxation, computed with PBE.

abc: 3.574 6.185 6.191
angles: 109.33 90.00 90.00
Fractional coordinates of all 8 atoms:
Ce 0.500 0.000 0.500
Ce 0.000 0.500 0.500
Dy 0.000 0.000 0.000
Th 0.500 0.500 0.000
N 0.500 0.247 0.248
N 0.500 0.753 0.752
N 0.000 0.246 0.751
N 0.000 0.754 0.249

Calculated values
Symmetry: No. 10
Formation energy from raw total energies in eV per atom: -1.566

***

Cs2Na after structural relaxation, computed with PBE.

abc: 5.334 5.334 9.709
angles: 106.08 106.08 89.84
Fractional coordinates of all 3 atoms:
Cs 0.141 0.141 0.281
Cs 0.859 0.859 0.719
Na 0.500 0.500 0.000

Calculated values
Distance to the lowest polymorph of the same formula in meV per atom: 0
Symmetry: No. 12

***

TbThAgOs after structural relaxation, computed with PBE.

abc: 5.076 5.076 5.076
angles: 60.00 60.00 60.00
Fractional coordinates of all 4 atoms:
Tb 0.000 0.000 0.000
Os 0.750 0.750 0.750
Ag 0.250 0.250 0.250
Th 0.500 0.500 0.500

Calculated values
Symmetry: No. 216

***

NaCaNi after structural relaxation, computed with PBE.

abc: 4.070 5.407 7.733
angles: 100.28 105.26 90.00
Fractional coordinates of all 6 atoms:
Ni 0.762 0.099 0.524
Ni 0.238 0.901 0.476
Na 0.582 0.795 0.163
Na 0.418 0.205 0.837
Ca 0.842 0.664 0.684
Ca 0.158 0.336 0.316

Calculated values
Distance to the lowest polymorph of the same formula in meV per atom: 190
Symmetry: No. 12

***

Number 1: DFT total energy -5.622 eV per atom. Number 2: DFT total energy -4.515 eV per atom. Number 3: DFT total energy -4.605 eV per atom. Number 4: DFT total energy -6.728 eV per atom. Number 5: DFT total energy -8.715 eV per atom. Number 6: DFT total energy -0.989 eV per atom. Number 7: DFT total energy -6.716 eV per atom. Number 8: DFT total energy -2.976 eV per atom.